Material: BaSrHf2Pd
Method: DFT, PBE
State: optimized geometry

Values from the calculation:
DFT total energy = -0.1947 Ha/atom
ΔH_f (0 K) = 0.442 eV/atom
DOS(E_F) = 5.866 states/eV/cell

Structure (CIF):
```
data_BaSrHf2Pd
_chemical_formula_sum 'Ba1 Sr1 Hf2 Pd1'
_space_group_name_H-M_alt 'P 4/m m m'
_space_group_IT_number 123
_space_group_name_Hall '-P 4 2'
_cell_length_a 5.2428
_cell_length_b 5.2428
_cell_length_c 6.1735
_cell_angle_alpha 90.00
_cell_angle_beta 90.00
_cell_angle_gamma 90.00
loop_
_atom_site_label
_atom_site_type_symbol
_atom_site_fract_x
_atom_site_fract_y
_atom_site_fract_z
Ba1 Ba 0.0000 0.0000 0.0000
Sr1 Sr 0.5000 0.5000 0.0000
Hf1 Hf 0.0000 0.5000 0.5000
Pd1 Pd 0.0000 0.0000 0.5000
```